4
Lattice="3.460 0.000 0.000 -1.730 2.997 0.000 0.000 0.000 4.956" Properties=species:S:1:pos:R:3 comment="CuF, relaxed, DFT PBE-GGA" vol_a3_per_fu=25.70 spacegroup="P6_3/mmc, No. 194" total_energy_ev_per_cell=-14.62 pbc="T T T"
Cu 0.000 0.000 1.239
Cu 0.000 0.000 3.717
F 1.730 0.999 1.239
F 0.000 1.998 3.717